Material: PaInCoIr
Method: DFT, GGA-PBE
State: relaxed

```
4
Lattice="4.710 0.000 0.000 2.355 4.079 0.000 2.355 1.360 3.846" Properties=species:S:1:pos:R:3 pbc="T T T"
Pa 7.065 4.079 2.884
Ir 0.000 0.000 0.000
In 2.355 1.360 0.961
Co 4.710 2.719 1.923
```

Computed properties:
The value obtained for the energy of formation from the pure elements is -313 meV/atom. As for the energy: -29.5 eV/f.u. As for the space group: No. 216. For the magnetization, the calculation gives 0.0 μB/f.u. For the density of states at the Fermi level, the calculation gives 1.3493 states/eV/atom.

---

Material: InCo2IrPd
Method: DFT, GGA-PBE
State: relaxed

```
5
Lattice="4.615 0.000 0.000 0.000 4.865 0.000 0.000 0.000 4.615" Properties=species:S:1:pos:R:3 pbc="T T T"
Ir 0.000 2.433 0.000
Co 2.307 0.000 0.000
In 0.000 0.000 0.000
Pd 2.307 2.433 2.307
Co 0.000 0.000 2.307
```

Computed properties:
The value obtained for the energy of formation from the pure elements is 1775 meV/atom. As for the energy: -22.1 eV/f.u. As for the space group: No. 123. For the magnetization, the calculation gives 4.1 μB/f.u. For the density of states at the Fermi level, the calculation gives 1.5863 states/eV/atom.

---

Material: PuInCoIr
Method: DFT, GGA-PBE
State: relaxed

```
4
Lattice="-1.436 3.684 2.496 1.107 0.329 4.531 3.091 3.206 1.425" Properties=species:S:1:pos:R:3 pbc="T T T"
Pu 1.381 3.609 4.226
In 0.000 0.000 0.000
Co 0.690 1.805 2.113
Ir 2.071 5.414 6.339
```

Computed properties:
The value obtained for the energy of formation from the pure elements is -158 meV/atom. As for the energy: -33.7 eV/f.u. As for the space group: No. 216. For the magnetization, the calculation gives 3.5 μB/f.u. For the density of states at the Fermi level, the calculation gives 1.5649 states/eV/atom.

---

Material: Rb2InCoIr
Method: DFT, GGA-PBE
State: relaxed

```
5
Lattice="6.817 0.000 0.000 0.000 5.069 0.000 0.000 0.000 6.817" Properties=species:S:1:pos:R:3 pbc="T T T"
Co 3.409 2.534 3.409
Rb 3.409 0.000 0.000
Ir 0.000 2.534 0.000
In 0.000 0.000 0.000
Rb 0.000 0.000 3.409
```

Computed properties:
The value obtained for the energy of formation from the pure elements is 1265 meV/atom. As for the energy: -14.3 eV/f.u. As for the space group: No. 123. For the magnetization, the calculation gives 2.8 μB/f.u. For the density of states at the Fermi level, the calculation gives 2.6770 states/eV/atom.

---

Material: Sc2InCoIr
Method: DFT, GGA-PBE
State: relaxed

```
5
Lattice="-3.937 -0.163 2.575 -1.517 -3.474 -2.540 2.051 -3.048 2.943" Properties=species:S:1:pos:R:3 pbc="T T T"
Ir -0.759 -1.737 -1.270
In -1.702 -3.342 1.489
Sc 1.025 -1.524 1.472
Sc -1.969 -0.082 1.287
Co 0.000 0.000 0.000
```

Computed properties:
The value obtained for the energy of formation from the pure elements is -48 meV/atom. As for the energy: -31.6 eV/f.u. As for the space group: No. 123. For the magnetization, the calculation gives 0.0 μB/f.u. For the density of states at the Fermi level, the calculation gives 0.7365 states/eV/atom.

---

Material: Sc5In2Co2Ir
Method: DFT, GGA-PBE
State: relaxed

```
20
Lattice="3.224 0.000 0.000 0.000 10.853 0.000 0.000 0.000 10.853" Properties=species:S:1:pos:R:3 pbc="T T T"
Sc 1.612 2.171 0.747
Sc 1.612 7.598 4.679
In 0.000 8.958 7.322
Ir 0.000 5.427 5.427
Sc 1.612 3.255 6.174
In 0.000 3.531 8.958
Sc 1.612 8.682 10.106
Sc 1.612 0.000 5.427
Sc 1.612 6.174 7.598
Ir 0.000 0.000 0.000
Sc 1.612 4.679 3.255
Co 0.000 9.411 3.984
Co 0.000 6.869 9.411
In 0.000 7.322 1.896
Sc 1.612 10.106 2.171
Co 0.000 3.984 1.442
Co 0.000 1.442 6.869
In 0.000 1.896 3.531
Sc 1.612 5.427 0.000
Sc 1.612 0.747 8.682
```

Computed properties:
The value obtained for the energy of formation from the pure elements is -486 meV/atom. As for the energy: -65.1 eV/f.u. As for the space group: No. 127. For the magnetization, the calculation gives 0.0 μB/f.u. For the density of states at the Fermi level, the calculation gives 0.5707 states/eV/atom.

---

Material: TlIn2CoIr
Method: DFT, GGA-PBE
State: relaxed

```
5
Lattice="-0.767 1.307 -5.331 3.628 -3.919 -1.483 -3.765 -3.377 -0.287" Properties=species:S:1:pos:R:3 pbc="T T T"
In 1.814 -1.959 -0.741
In -0.383 0.654 -2.665
Ir -1.882 -1.689 -0.143
Tl 0.000 0.000 0.000
Co -0.452 -2.994 -3.550
```

Computed properties:
The value obtained for the energy of formation from the pure elements is 1670 meV/atom. As for the energy: -15.5 eV/f.u. As for the space group: No. 123. For the magnetization, the calculation gives 2.1 μB/f.u. For the density of states at the Fermi level, the calculation gives 1.6738 states/eV/atom.

---

Material: TlInCoIr2
Method: DFT, GGA-PBE
State: relaxed

```
5
Lattice="-4.205 -1.038 1.603 -0.934 -2.400 -4.004 1.681 -3.851 1.916" Properties=species:S:1:pos:R:3 pbc="T T T"
Tl -1.729 -3.644 -0.243
Co 0.000 0.000 0.000
Ir -2.102 -0.519 0.801
In -0.467 -1.200 -2.002
Ir 0.840 -1.926 0.958
```

Computed properties:
The value obtained for the energy of formation from the pure elements is 900 meV/atom. As for the energy: -25.4 eV/f.u. As for the space group: No. 123. For the magnetization, the calculation gives 2.0 μB/f.u. For the density of states at the Fermi level, the calculation gives 0.7407 states/eV/atom.

---

Q: Which of these has the highest energy?
A: Rb2InCoIr

---

Q: What is the magnetization in the second record?
A: 4.1 μB/f.u.

---

Q: The highest magnetization belongs to which entry?
A: InCo2IrPd